No. 1
This record from Alexandria describes an optimized crystal structure of Ba2ZnIn. The functional is PBE.

Properties
crystal system = cubic
electronic total energy = -2.2493 eV per atom
calculated density = 5.09 g cm⁻³

a = 5.945 Å, b = 5.945 Å, c = 5.945 Å
α = 60.00°, β = 60.00°, γ = 60.00°
Fractional positions:
Ba 0.250 0.250 0.250
Ba 0.750 0.750 0.750
Zn 0.000 0.000 0.000
In 0.500 0.500 0.500


No. 2
This record from Alexandria describes an optimized crystal structure of Ba3Zn3In8. The functional is PBE.

Properties
crystal system = monoclinic
electronic total energy = -2.5368 eV per atom
calculated density = 6.36 g cm⁻³

a = 9.457 Å, b = 9.457 Å, c = 11.213 Å
α = 126.10°, β = 126.10°, γ = 30.13°
Fractional positions:
Ba 0.000 0.000 0.000
Ba 0.311 0.311 0.312
Ba 0.689 0.689 0.688
Zn 0.000 0.000 0.500
Zn 0.339 0.339 0.706
Zn 0.661 0.661 0.294
In 0.145 0.145 0.869
In 0.155 0.155 0.421
In 0.342 0.342 0.961
In 0.495 0.495 0.695
In 0.505 0.505 0.305
In 0.658 0.658 0.039
In 0.845 0.845 0.579
In 0.855 0.855 0.131